Compound: SbMoPb2
Source: the Alexandria database
Functional: PBE-GGA
Structure: relaxed

The calculation puts the uncorrected formation energy at 0.628 eV/atom. The value obtained for the volume is 100 Å³/cell. The density of states at the Fermi level is 3.7 states/eV per cell. Its density is 10.48 g cm⁻³.

The structure belongs to space group P4/mmm (No. 123); the cell edges are 3.3472, 3.3472 and 8.9370 Å and the angles 90.00°, 90.00° and 90.00°. The asymmetric unit holds Sb at (0.0000, 0.0000, 0.0000), Mo at (0.0000, 0.0000, 0.5000) and Pb at (0.5000, 0.5000, 0.2905).